# InMo2PH

An optimized crystal structure of InMo2PH (PBE, Alexandria).

Calculated total energy   -5.026 eV per atom
Calculated density   6.51 g/cm³
Magnetization   3.1 μB/cell
N(E_F)   1.16 states/eV/atom

Structure (CIF):
```
data_InMo2PH
_chemical_formula_sum 'In1 Mo2 P1 H1'
_cell_length_a 5.086
_cell_length_b 5.086
_cell_length_c 3.338
_cell_angle_alpha 90.00
_cell_angle_beta 90.00
_cell_angle_gamma 90.00
_space_group_name_H-M_alt 'P 4/m m m'
_space_group_IT_number 123
_space_group_name_Hall '-P 4 2'
loop_
_atom_site_label
_atom_site_type_symbol
_atom_site_fract_x
_atom_site_fract_y
_atom_site_fract_z
In1 In 0.000 0.000 0.000
Mo1 Mo 0.000 0.500 0.000
P1 P 0.500 0.500 0.500
H1 H 0.000 0.000 0.500
```

# InMoH2Pd

An optimized crystal structure of InMoH2Pd (PBE, Alexandria).

Calculated total energy   -4.287 eV per atom
Calculated density   7.13 g/cm³
Magnetization   1.7 μB/cell
N(E_F)   0.44 states/eV/atom

Structure (CIF):
```
data_InMoH2Pd
_chemical_formula_sum 'In1 Mo1 H2 Pd1'
_cell_length_a 3.753
_cell_length_b 3.753
_cell_length_c 5.281
_cell_angle_alpha 90.00
_cell_angle_beta 90.00
_cell_angle_gamma 90.00
_space_group_name_H-M_alt 'P 4/m m m'
_space_group_IT_number 123
_space_group_name_Hall '-P 4 2'
loop_
_atom_site_label
_atom_site_type_symbol
_atom_site_fract_x
_atom_site_fract_y
_atom_site_fract_z
In1 In 0.000 0.000 0.000
Mo1 Mo 0.500 0.500 0.000
H1 H 0.000 0.500 0.500
Pd1 Pd 0.000 0.000 0.500
```

# ScInMoH2

An optimized crystal structure of ScInMoH2 (PBE, Alexandria).

Calculated total energy   -4.807 eV per atom
Calculated density   5.39 g/cm³
Magnetization   0.7 μB/cell
N(E_F)   0.49 states/eV/atom

Structure (CIF):
```
data_ScInMoH2
_chemical_formula_sum 'Sc1 In1 Mo1 H2'
_cell_length_a 3.892
_cell_length_b 3.892
_cell_length_c 5.243
_cell_angle_alpha 90.00
_cell_angle_beta 90.00
_cell_angle_gamma 90.00
_space_group_name_H-M_alt 'P 4/m m m'
_space_group_IT_number 123
_space_group_name_Hall '-P 4 2'
loop_
_atom_site_label
_atom_site_type_symbol
_atom_site_fract_x
_atom_site_fract_y
_atom_site_fract_z
Sc1 Sc 0.000 0.000 0.000
In1 In 0.500 0.500 0.000
Mo1 Mo 0.500 0.500 0.500
H1 H 0.000 0.500 0.500
```

# Ti2InMoH

An optimized crystal structure of Ti2InMoH (PBE, Alexandria).

Calculated total energy   -6.749 eV per atom
Calculated density   7.19 g/cm³
Magnetization   0.0 μB/cell
N(E_F)   0.41 states/eV/atom

Structure (CIF):
```
data_Ti2InMoH
_chemical_formula_sum 'Ti2 In1 Mo1 H1'
_cell_length_a 4.368
_cell_length_b 4.368
_cell_length_c 3.721
_cell_angle_alpha 90.00
_cell_angle_beta 90.00
_cell_angle_gamma 90.00
_space_group_name_H-M_alt 'P 4/m m m'
_space_group_IT_number 123
_space_group_name_Hall '-P 4 2'
loop_
_atom_site_label
_atom_site_type_symbol
_atom_site_fract_x
_atom_site_fract_y
_atom_site_fract_z
Ti1 Ti 0.000 0.500 0.000
In1 In 0.000 0.000 0.500
Mo1 Mo 0.500 0.500 0.500
H1 H 0.500 0.500 0.000
```

# ZnInMoH2

An optimized crystal structure of ZnInMoH2 (PBE, Alexandria).

Calculated total energy   -3.371 eV per atom
Calculated density   5.99 g/cm³
Magnetization   1.4 μB/cell
N(E_F)   0.66 states/eV/atom

Structure (CIF):
```
data_ZnInMoH2
_chemical_formula_sum 'Zn1 In1 Mo1 H2'
_cell_length_a 3.803
_cell_length_b 3.803
_cell_length_c 5.328
_cell_angle_alpha 90.00
_cell_angle_beta 90.00
_cell_angle_gamma 90.00
_space_group_name_H-M_alt 'P 4/m m m'
_space_group_IT_number 123
_space_group_name_Hall '-P 4 2'
loop_
_atom_site_label
_atom_site_type_symbol
_atom_site_fract_x
_atom_site_fract_y
_atom_site_fract_z
Zn1 Zn 0.000 0.000 0.000
In1 In 0.500 0.500 0.500
Mo1 Mo 0.000 0.000 0.500
H1 H 0.000 0.500 0.000
```

# In2HN

An optimized crystal structure of In2HN (PBE, Alexandria).

Calculated total energy   -3.853 eV per atom
Calculated density   6.16 g/cm³
Magnetization   0.0 μB/cell
N(E_F)   0.02 states/eV/atom

Structure (CIF):
```
data_In2HN
_chemical_formula_sum 'In8 H4 N4'
_cell_length_a 4.718
_cell_length_b 4.718
_cell_length_c 11.858
_cell_angle_alpha 90.00
_cell_angle_beta 90.00
_cell_angle_gamma 90.00
_space_group_name_H-M_alt 'I -4 2 d'
_space_group_IT_number 122
_space_group_name_Hall 'I -4 2bw'
loop_
_atom_site_label
_atom_site_type_symbol
_atom_site_fract_x
_atom_site_fract_y
_atom_site_fract_z
In1 In 0.241 0.250 0.125
H1 H 0.000 0.000 0.000
N1 N 0.000 0.000 0.500
```

# InHN

An optimized crystal structure of InHN (PBE, Alexandria).

Calculated total energy   -4.364 eV per atom
Calculated density   4.51 g/cm³
Magnetization   0.0 μB/cell
N(E_F)   0.09 states/eV/atom

Structure (CIF):
```
data_InHN
_chemical_formula_sum 'In2 H2 N2'
_cell_length_a 3.526
_cell_length_b 3.526
_cell_length_c 8.975
_cell_angle_alpha 81.93
_cell_angle_beta 82.91
_cell_angle_gamma 60.04
_space_group_name_H-M_alt 'P -1'
_space_group_IT_number 2
loop_
_space_group_symop_operation_xyz
'x,y,z'
'-x,-y,-z'
loop_
_atom_site_label
_atom_site_type_symbol
_atom_site_fract_x
_atom_site_fract_y
_atom_site_fract_z
In1 In 0.201 0.217 0.314
H1 H 0.233 0.269 0.118
N1 N 0.484 0.477 0.586
```

# In2Ni6HN

An optimized crystal structure of In2Ni6HN (PBE, Alexandria).

Calculated total energy   -5.288 eV per atom
Calculated density   8.85 g/cm³
Magnetization   0.0 μB/cell
N(E_F)   0.58 states/eV/atom

Structure (CIF):
```
data_In2Ni6HN
_chemical_formula_sum 'In4 Ni12 H2 N2'
_cell_length_a 5.415
_cell_length_b 5.415
_cell_length_c 7.637
_cell_angle_alpha 90.00
_cell_angle_beta 90.00
_cell_angle_gamma 90.00
_space_group_name_H-M_alt 'I 4/m m m'
_space_group_IT_number 139
_space_group_name_Hall '-I 4 2'
loop_
_atom_site_label
_atom_site_type_symbol
_atom_site_fract_x
_atom_site_fract_y
_atom_site_fract_z
In1 In 0.000 0.500 0.250
Ni1 Ni 0.000 0.000 0.250
Ni2 Ni 0.249 0.249 0.000
H1 H 0.000 0.000 0.500
N1 N 0.000 0.000 0.000
```